No. 1
The following is a PBE calculation of a geometry-optimized SnPN2 structure, from Alexandria via LeMat-Bulk.

D(E_F) ... 1.10 states/eV/cell

a b c (Å): 2.8635 2.8635 20.2280
angles (deg): 90.00 90.00 120.00
With the nearest neighbours (Å) after each atom.
Sites, in units of the cell vectors:
Sn1 0.0000 0.0000 0.0000  2 N 2.45
Sn2 0.3333 0.6667 0.6667  2 N 2.45
Sn3 0.6667 0.3333 0.3333  2 N 2.45
P1 0.0000 0.0000 0.5000  6 N 1.89
P2 0.3333 0.6667 0.1667  6 N 1.89
P3 0.6667 0.3333 0.8333  6 N 1.89
N1 0.0000 0.0000 0.1212  3 P 1.89
N2 0.0000 0.0000 0.8788  3 P 1.89
N3 0.3333 0.6667 0.5455  3 P 1.89
N4 0.3333 0.6667 0.7879  3 P 1.89
N5 0.6667 0.3333 0.2121  3 P 1.89
N6 0.6667 0.3333 0.4545  3 P 1.89

No. 2
The following is a PBE calculation of a geometry-optimized SnPN2 structure, from Alexandria via LeMat-Bulk.

D(E_F) ... 5.50 states/eV/cell

a b c (Å): 5.2611 5.2611 7.5411
angles (deg): 90.00 90.00 90.00
With the nearest neighbours (Å) after each atom.
Sites, in units of the cell vectors:
Sn1 0.0000 0.0000 0.0000  12 N 2.96-3.22, 4 Sn 3.24, 4 P 3.24
Sn2 0.0000 0.5000 0.2500  12 N 2.96-3.22, 4 Sn 3.24, 4 P 3.24
Sn3 0.5000 0.0000 0.7500  12 N 2.96-3.22, 4 Sn 3.24, 4 P 3.24
Sn4 0.5000 0.5000 0.5000  12 N 2.96-3.22, 4 Sn 3.24, 4 P 3.24
P1 0.0000 0.0000 0.5000  4 N 1.63
P2 0.0000 0.5000 0.7500  4 N 1.63
P3 0.5000 0.0000 0.2500  4 N 1.63
P4 0.5000 0.5000 0.0000  4 N 1.63
N1 0.0296 0.2500 0.6250  2 P 1.63
N2 0.2500 0.5296 0.8750  2 P 1.63
N3 0.2500 0.9704 0.3750  2 P 1.63
N4 0.4704 0.2500 0.1250  2 P 1.63
N5 0.5296 0.7500 0.1250  2 P 1.63
N6 0.7500 0.0296 0.3750  2 P 1.63
N7 0.7500 0.4704 0.8750  2 P 1.63
N8 0.9704 0.7500 0.6250  2 P 1.63

No. 3
The following is a PBE calculation of a geometry-optimized SnP2N structure, from Alexandria via LeMat-Bulk.

D(E_F) ... 7.22 states/eV/cell

a b c (Å): 4.8905 4.8905 11.7635
angles (deg): 90.00 90.00 90.00
With the nearest neighbours (Å) after each atom.
Sites, in units of the cell vectors:
Sn1 0.0000 0.0000 0.0000  4 P 2.69
Sn2 0.0000 0.5000 0.2500  4 P 2.69
Sn3 0.5000 0.0000 0.7500  4 P 2.69
Sn4 0.5000 0.5000 0.5000  4 P 2.69
P1 0.1137 0.2500 0.6250  2 N 1.99
P2 0.2500 0.6137 0.8750  2 N 1.99
P3 0.2500 0.8863 0.3750  2 N 1.99
P4 0.3863 0.2500 0.1250  2 N 1.99
P5 0.6137 0.7500 0.1250  2 N 1.99
P6 0.7500 0.1137 0.3750  2 N 1.99
P7 0.7500 0.3863 0.8750  2 N 1.99
P8 0.8863 0.7500 0.6250  2 N 1.99
N1 0.0000 0.0000 0.5000  4 P 1.99
N2 0.0000 0.5000 0.7500  4 P 1.99
N3 0.5000 0.0000 0.2500  4 P 1.99
N4 0.5000 0.5000 0.0000  4 P 1.99

No. 4
The following is a PBE calculation of a geometry-optimized SnPN3 structure, from Alexandria via LeMat-Bulk.

D(E_F) ... 2.77 states/eV/cell

a b c (Å): 4.1252 4.1252 4.1252
angles (deg): 90.00 90.00 90.00
With the nearest neighbours (Å) after each atom.
Sites, in units of the cell vectors:
Sn1 0.0000 0.0000 0.0000  6 N 2.06
P1 0.5000 0.5000 0.5000  12 N 2.92
N1 0.0000 0.0000 0.5000  2 Sn 2.06
N2 0.0000 0.5000 0.0000  2 Sn 2.06
N3 0.5000 0.0000 0.0000  2 Sn 2.06

Number 1: total moment 0.0 μB/cell, raw formation energy 0.93 eV per formula unit. Number 2: total moment 0.0 μB/cell, raw formation energy 0.76 eV per formula unit. Number 3: total moment 0.0 μB/cell, raw formation energy 2.66 eV per formula unit. Number 4: total moment 2.0 μB/cell, raw formation energy 10.49 eV per formula unit.